The following is a DFT calculation (PBE) of a relaxed structure of Mg2ZrW.

Values from the calculation:
The energy above the most stable polymorph in this dataset is 545 meV/atom. As for the total magnetization: 0.00 μB per cell. For the volume, the calculation gives 21.053 Å³ per atom. Its energy of formation from the pure elements is 0.75 eV/atom. For the theoretical density, the calculation gives 6.4 g/cm³.

The structure in CIF format:
```
data_Mg2ZrW
_chemical_formula_sum 'Mg8 Zr4 W4'
_symmetry_space_group_name_H-M 'I -4 2 d'
_symmetry_Int_Tables_number 122
_symmetry_space_group_name_Hall 'I -4 2bw'
_cell_length_a 3.974
_cell_length_b 3.974
_cell_length_c 21.325
_cell_angle_alpha 90.00
_cell_angle_beta 90.00
_cell_angle_gamma 90.00
loop_
_atom_site_label
_atom_site_fract_x
_atom_site_fract_y
_atom_site_fract_z
Mg1 0.238 0.250 0.125
Zr1 0.000 0.000 0.500
W1 0.000 0.000 0.000
```